[1]
## SmHo2Tc (PBE)

Data for an optimized crystal structure of SmHo2Tc.

energy relative to the elements	0.01	eV per atom
distance to the lowest polymorph of the same formula	91	meV/atom
calculated total energy	-0.2225	Ha/atom

Cell: 3.4448 3.4448 9.0084 Å, 90.00 90.00 90.00°
Last column: nearest neighbours and their distance in Å.
Fractional positions:
Sm  0.0000  0.0000  0.0000  4 Sm 3.44, 8 Ho 3.76
Ho  0.5000  0.5000  0.3179  4 Tc 2.94, 1 Ho 3.28
Ho  0.5000  0.5000  0.6821  4 Tc 2.94, 1 Ho 3.28
Tc  0.0000  0.0000  0.5000  8 Ho 2.94

***

[2]
## TlNiP2 (PBE)

Data for an optimized crystal structure of TlNiP2.

energy relative to the elements	0.09	eV per atom
distance to the lowest polymorph of the same formula	206	meV/atom
calculated total energy	-0.1711	Ha/atom

Cell: 3.2044 3.2044 7.1396 Å, 90.00 90.00 90.00°
Last column: nearest neighbours and their distance in Å.
Fractional positions:
Tl  0.0000  0.0000  0.0000  4 Tl 3.20, 8 P 3.37, 2 Ni 3.57
Ni  0.0000  0.0000  0.5000  8 P 2.51
P  0.5000  0.5000  0.3500  1 P 2.14
P  0.5000  0.5000  0.6500  1 P 2.14

***

distance to the lowest polymorph of the same formula of number 1 (SmHo2Tc)?
91 meV/atom

***

Copy entry 2 word for word.
## TlNiP2 (PBE)

Data for an optimized crystal structure of TlNiP2.

energy relative to the elements	0.09	eV per atom
distance to the lowest polymorph of the same formula	206	meV/atom
calculated total energy	-0.1711	Ha/atom

Cell: 3.2044 3.2044 7.1396 Å, 90.00 90.00 90.00°
Last column: nearest neighbours and their distance in Å.
Fractional positions:
Tl  0.0000  0.0000  0.0000  4 Tl 3.20, 8 P 3.37, 2 Ni 3.57
Ni  0.0000  0.0000  0.5000  8 P 2.51
P  0.5000  0.5000  0.3500  1 P 2.14
P  0.5000  0.5000  0.6500  1 P 2.14